## Li2CaVRe (PBE)

Data for a relaxed Li2CaVRe crystal.

Geometry as POSCAR:
```
Li2CaVRe
1.0
-0.895 -4.545 0.417
0.176 -0.459 -4.625
5.219 -1.001 0.297
Li Ca V Re
2 1 1 1
Cartesian
-0.448 -2.273 0.208
0.088 -0.229 -2.313
2.609 -0.500 0.149
0.000 0.000 0.000
2.250 -3.002 -1.955
```

Calculated values
ΔH_f (0 K)	1.75	eV per atom
space group	P4/mmm
DFT total energy	-3.73	eV/atom
V	23.03	Å³/atom